# 1
An optimized crystal structure of Sr3Cu2As4. Source: Alexandria, functional GGA-PBE.

Cell lengths 4.3155, 6.2491, 8.8355 Å; angles 101.40, 90.00, 110.20 degrees
Last column: nearest neighbours and their distance in Å.
Fractional positions:
As 0.2842 0.5683 0.9441  1 Cu 2.39, 2 As 2.57
Sr 0.0000 0.0000 0.0000  8 As 3.16-3.47, 4 Cu 3.36
Cu 0.3723 0.7447 0.7237  3 As 2.39-2.40
Sr 0.3539 0.7079 0.3382  8 As 3.26-3.44, 4 Cu 3.37
Sr 0.6461 0.2921 0.6618  8 As 3.26-3.44, 4 Cu 3.37
Cu 0.6277 0.2553 0.2763  3 As 2.39-2.40
As 0.0805 0.1610 0.3648  2 Cu 2.40
As 0.9195 0.8390 0.6352  2 Cu 2.40
As 0.7158 0.4317 0.0559  1 Cu 2.39, 2 As 2.57

The magnetic moment is 0.0 μB per formula unit. As for the energy of formation from the pure elements: -763 meV per atom. The total DFT energy (no corrections) comes out at -38.7 eV/cell. The calculation puts the volume at 24.3 A^3/atom.

=====

# 2
An optimized crystal structure of SrCu4As2. Source: Alexandria, functional GGA-PBE.

Cell lengths 3.9459, 7.7051, 7.7051 Å; angles 90.00, 90.00, 90.00 degrees
Last column: nearest neighbours and their distance in Å.
Fractional positions:
Cu 0.5000 0.4175 0.8479  3 As 2.53-2.54, 5 Cu 2.67-2.73
Sr 0.5000 0.0000 0.0000  6 As 3.04-3.11, 8 Cu 3.39
Cu 0.5000 0.5825 0.1521  3 As 2.53-2.54, 5 Cu 2.67-2.73
Sr 0.0000 0.5000 0.5000  6 As 3.04-3.11, 8 Cu 3.39
As 0.5000 0.2791 0.2791  6 Cu 2.53-2.54
Cu 0.0000 0.0825 0.3479  3 As 2.53-2.54, 5 Cu 2.67-2.73
As 0.0000 0.2209 0.7791  6 Cu 2.53-2.54
Cu 0.5000 0.1521 0.5825  3 As 2.53-2.54, 5 Cu 2.67-2.73
Cu 0.0000 0.9175 0.6521  3 As 2.53-2.54, 5 Cu 2.67-2.73
Cu 0.0000 0.6521 0.9175  3 As 2.53-2.54, 5 Cu 2.67-2.73
As 0.5000 0.7209 0.7209  6 Cu 2.53-2.54
Cu 0.0000 0.3479 0.0825  3 As 2.53-2.54, 5 Cu 2.67-2.73
As 0.0000 0.7791 0.2209  6 Cu 2.53-2.54
Cu 0.5000 0.8479 0.4175  3 As 2.53-2.54, 5 Cu 2.67-2.73

The value obtained for the polymorph energy (0 for the lowest one) is 0.006 eV/atom. The magnetic moment is 0.0 μB per formula unit. As for the energy of formation from the pure elements: -338 meV per atom. The total DFT energy (no corrections) comes out at -59.5 eV/cell. The calculation puts the volume at 16.7 A^3/atom.

=====

# 3
An optimized crystal structure of SrCu6As4. Source: Alexandria, functional GGA-PBE.

Cell lengths 4.1759, 4.1759, 11.2470 Å; angles 100.70, 100.70, 90.00 degrees
Last column: nearest neighbours and their distance in Å.
Fractional positions:
Sr 0.0000 0.0000 0.0000  8 As 3.24, 8 Cu 3.39
Cu 0.3771 0.8771 0.7543  4 As 2.48-2.51, 1 Cu 2.76
Cu 0.2500 0.7500 0.5000  4 As 2.50, 2 Cu 2.76
As 0.8130 0.8130 0.6259  8 Cu 2.50-2.51
Cu 0.1229 0.6229 0.2457  4 As 2.48-2.51, 1 Cu 2.76
Cu 0.6229 0.1229 0.2457  4 As 2.48-2.51, 1 Cu 2.76
Cu 0.8771 0.3771 0.7543  4 As 2.48-2.51, 1 Cu 2.76
As 0.1870 0.1870 0.3741  8 Cu 2.50-2.51
As 0.5614 0.5614 0.1229  4 Cu 2.48, 1 As 2.67
As 0.4386 0.4386 0.8771  4 Cu 2.48, 1 As 2.67
Cu 0.7500 0.2500 0.5000  4 As 2.50, 2 Cu 2.76

The magnetic moment is 0.0 μB per formula unit. As for the energy of formation from the pure elements: -215 meV per atom. The total DFT energy (no corrections) comes out at -47.2 eV/cell. The calculation puts the volume at 17.2 A^3/atom.